# 1
Nd3AlGe3 PBE optimized geometry; space group = Imm2, No. 44
1.0
-0.182 -2.947 -2.854
4.394 -0.539 0.277
-3.318 -4.688 8.005
Nd Al Ge
3 1 3
direct
0.682 0.182 0.365
0.315 0.815 0.630
0.003 0.003 0.005
0.432 0.432 0.864
0.852 0.352 0.704
0.564 0.564 0.129
0.152 0.652 0.304



# 2
NdAlGe2 PBE optimized geometry; space group = Amm2, No. 38
1.0
3.868 0.000 0.000
0.000 5.078 -0.085
0.000 -1.751 4.767
Nd Ge Al
1 2 1
direct
0.000 0.040 0.960
0.500 0.529 0.922
0.500 0.078 0.471
0.500 0.568 0.432



# 3
Nd7Al2Ge2 PBE optimized geometry; space group = Cmmm, No. 65
1.0
-4.259 5.375 1.007
-4.813 -2.932 -4.701
-1.604 -4.861 4.674
Nd Al Ge
7 2 2
direct
0.500 0.282 0.000
0.000 0.718 0.500
0.000 0.000 0.000
0.500 0.718 0.000
0.000 0.282 0.500
0.500 0.740 0.500
0.500 0.260 0.500
0.838 0.500 0.838
0.162 0.500 0.162
0.716 0.000 0.284
0.284 0.000 0.716



Result set for total DFT energy (no corrections): -37.17 -18.81 -53.20 eV for the cell shown, one per record in the order listed.